Compound: CrCuRe
Source: Alexandria via LeMat-Bulk
Functional: GGA-PBE
Structure: relaxed

Calculated values
- Energy above the most stable polymorph in this dataset: 3.79 kJ per mole of atoms
- Electronic total energy: -8.5016 eV/atom
- E_form: 0.221 eV per atom
- Space group: No. 44

The structure in POSCAR format:
```
CrCuRe
1.0
4.5499 0.0051 0.0006
2.1174 4.0272 -0.0006
-2.8242 -2.8584 2.1342
Cr Cu Re
1 1 1
direct
0.9970 0.9970 0.0000
0.3341 0.3341 0.0000
0.6689 0.6689 0.0000
```

Compound: Rb3Ge4Pd
Source: Alexandria via LeMat-Bulk
Functional: GGA-PBE
Structure: relaxed

Calculated values
- Electronic total energy: -3.5479 eV/atom
- E_form: -0.227 eV per atom
- Space group: No. 59

The structure in POSCAR format:
```
Rb3Ge4Pd
1.0
5.8007 0.0000 0.0000
0.0000 7.0716 0.0000
0.0000 0.0000 13.0356
Ge Pd Rb
8 2 6
direct
0.3366 0.5000 0.8860
0.3366 0.5000 0.1140
0.0599 0.3038 0.0000
0.0599 0.6962 0.0000
0.9401 0.8038 0.5000
0.9401 0.1962 0.5000
0.6634 0.0000 0.3860
0.6634 0.0000 0.6140
0.6853 0.5000 0.0000
0.3147 0.0000 0.5000
0.5712 0.0000 0.0000
0.4288 0.5000 0.5000
0.8364 0.5000 0.7329
0.8364 0.5000 0.2671
0.1636 0.0000 0.7671
0.1636 0.0000 0.2329
```

Compound: Pr2CdAuO5
Source: Alexandria via LeMat-Bulk
Functional: GGA-PBE
Structure: relaxed

Calculated values
- ΔE_f (raw): -1.865 eV/atom
- Electronic total energy: -6.1473 eV/atom
- Space group: No. 36

The structure in POSCAR format:
```
Pr2CdAuO5
1.0
3.4331 0.0000 0.0000
-1.7166 7.2920 0.0000
0.0000 0.0000 10.3584
Pr Cd Au O
4 2 2 10
direct
0.8680 0.7359 0.7984
0.1267 0.2534 0.6872
0.1320 0.2641 0.2984
0.8733 0.7466 0.1872
0.8006 0.6011 0.4965
0.1994 0.3989 0.9965
0.5317 0.0634 0.9742
0.4683 0.9366 0.4742
0.3525 0.7050 0.0014
0.6986 0.3972 0.8276
0.5033 0.0065 0.7776
0.2998 0.5997 0.6619
0.9632 0.9264 0.5992
0.6475 0.2950 0.5014
0.3014 0.6028 0.3276
0.4967 0.9935 0.2776
0.7002 0.4003 0.1619
0.0368 0.0736 0.0992
```

Compound: PaIN
Source: Alexandria via LeMat-Bulk
Functional: GGA-PBE
Structure: relaxed

Calculated values
- ΔE_f (raw): -1.520 eV/atom
- Electronic total energy: -7.9775 eV/atom
- Space group: No. 166

The structure in POSCAR format:
```
PaIN
1.0
-1.0709 1.7286 -3.4132
0.9839 -1.6713 -3.4675
-9.8102 -5.8935 -2.2190
Pa N I
2 2 2
direct
0.2939 0.2939 0.1183
0.7061 0.7061 0.8817
0.3580 0.3580 0.9260
0.6420 0.6420 0.0740
0.8930 0.8930 0.3209
0.1070 0.1070 0.6791
```

Compound: TbIn2Bi2
Source: Alexandria via LeMat-Bulk
Functional: GGA-PBE
Structure: relaxed

Calculated values
- Electronic total energy: -3.8635 eV/atom
- E_form: -0.290 eV per atom
- Space group: No. 12

The structure in POSCAR format:
```
TbIn2Bi2
1.0
4.0656 -0.0151 1.0491
-0.2593 4.0573 1.0491
0.0695 0.0738 8.9376
Tb In Bi
1 2 2
direct
0.2000 0.0000 0.0000
0.9941 0.7941 0.3967
0.4059 0.2059 0.6033
0.8039 0.6039 0.8080
0.5961 0.3961 0.1920
```

Compound: PmTi4
Source: Alexandria via LeMat-Bulk
Functional: GGA-PBE
Structure: relaxed

Calculated values
- Electronic total energy: -5.8552 eV/atom
- E_form: 1.411 eV per atom
- Space group: No. 221

The structure in POSCAR format:
```
PmTi4
1.0
4.8042 0.0000 0.0000
0.0000 4.8042 0.0000
0.0000 0.0000 4.8042
Ti Pm
4 1
direct
0.0000 0.0000 0.0000
0.5000 0.0000 0.5000
0.0000 0.5000 0.5000
0.5000 0.5000 0.0000
0.5000 0.5000 0.5000
```

Compound: Sr3I2O2
Source: Alexandria via LeMat-Bulk
Functional: GGA-PBE
Structure: relaxed

Calculated values
- Energy above the most stable polymorph in this dataset: 0.00 kJ per mole of atoms
- ΔE_f (raw): -2.281 eV/atom
- Electronic total energy: -4.8613 eV/atom
- Space group: No. 12

The structure in POSCAR format:
```
Sr3I2O2
1.0
-3.5609 2.2131 0.3553
-4.8235 -4.2843 3.2590
-0.6060 1.8256 7.4701
Sr I O
3 2 2
direct
0.0000 0.0000 0.0000
0.7966 0.6077 0.7991
0.2034 0.3923 0.2009
0.5749 0.2050 0.6452
0.4251 0.7950 0.3548
0.8067 0.3155 0.0710
0.1933 0.6845 0.9290
```

Compound: GaFe14Si
Source: Alexandria via LeMat-Bulk
Functional: GGA-PBE
Structure: relaxed

Calculated values
- ΔE_f (raw): -0.017 eV/atom
- Electronic total energy: -7.9499 eV/atom
- Space group: No. 123

The structure in POSCAR format:
```
GaFe14Si
1.0
5.0435 -0.0105 0.0000
0.0110 5.0435 0.0000
0.0000 0.0000 7.2851
Ga Fe Si
1 14 1
direct
0.3750 0.3750 0.5000
0.8750 0.8750 0.0000
0.3750 0.3750 0.0000
0.8750 0.3750 0.5000
0.8750 0.3750 0.0000
0.3750 0.8750 0.5000
0.3750 0.8750 0.0000
0.6292 0.1208 0.2514
0.6292 0.1208 0.7486
0.1208 0.6292 0.2514
0.1208 0.6292 0.7486
0.6292 0.6292 0.2514
0.6292 0.6292 0.7486
0.1208 0.1208 0.2514
0.1208 0.1208 0.7486
0.8750 0.8750 0.5000
```

Compound: KZrNi
Source: Alexandria via LeMat-Bulk
Functional: GGA-PBE
Structure: relaxed

Calculated values
- Energy above the most stable polymorph in this dataset: 67.82 kJ per mole of atoms
- Electronic total energy: -4.1272 eV/atom
- E_form: 1.015 eV per atom
- Space group: No. 216

The structure in POSCAR format:
```
KZrNi
1.0
-3.3827 0.6420 -3.2132
-1.8112 -3.6991 -2.2837
-4.4043 -1.4005 0.9055
K Ni Zr
1 1 1
direct
0.5000 0.5000 0.5000
0.7500 0.7500 0.7500
0.0000 0.0000 0.0000
```

Compound: Li3PuSc2S6
Source: Alexandria via LeMat-Bulk
Functional: GGA-PBE
Structure: relaxed

Calculated values
- ΔE_f (raw): -1.672 eV/atom
- Electronic total energy: -6.4636 eV/atom
- Space group: No. 12

The structure in POSCAR format:
```
Li3PuSc2S6
1.0
-3.8450 -2.6513 -4.6237
5.8985 -2.6083 1.2638
-3.1960 -1.8998 5.3030
Li Pu Sc S
3 1 2 6
direct
0.1681 0.8319 0.5000
0.8319 0.1681 0.5000
0.5000 0.5000 0.5000
0.0000 0.0000 0.0000
0.3334 0.6666 0.0000
0.6666 0.3334 0.0000
0.9188 0.5708 0.7564
0.7340 0.7340 0.2457
0.0812 0.4292 0.2436
0.5708 0.9188 0.7564
0.2660 0.2660 0.7543
0.4292 0.0812 0.2436
```

Compound: U4O
Source: Alexandria via LeMat-Bulk
Functional: GGA-PBE
Structure: relaxed

Calculated values
- ΔE_f (raw): -0.524 eV/atom
- Electronic total energy: -10.5462 eV/atom
- Space group: No. 221

The structure in POSCAR format:
```
U4O
1.0
-0.6949 3.9875 -2.2993
-1.5372 -2.3929 -3.6853
-4.3387 0.2091 1.6739
U O
4 1
direct
0.0000 0.0000 0.0000
0.5000 0.0000 0.5000
0.0000 0.5000 0.5000
0.5000 0.5000 0.0000
0.5000 0.5000 0.5000
```

Compound: Lu2ThAl
Source: Alexandria via LeMat-Bulk
Functional: GGA-PBE
Structure: relaxed

Calculated values
- Energy above the most stable polymorph in this dataset: 28.47 kJ per mole of atoms
- Electronic total energy: -4.9482 eV/atom
- E_form: 0.103 eV per atom
- Space group: No. 166

The structure in POSCAR format:
```
Lu2ThAl
1.0
-1.4637 -2.6568 1.4729
1.8409 -2.1167 1.8712
-2.0090 4.6859 10.3157
Lu Al Th
2 1 1
direct
0.0993 0.0993 0.7020
0.9007 0.9007 0.2980
0.5000 0.5000 0.5000
0.0000 0.0000 0.0000
```